1.
Computed, not measured: a geometry-optimized KLiHf2P structure at the GGA-PBE level of DFT.

Properties
Energy relative to the elements in eV/atom: 1.973

Unit cell a=4.9042 b=5.2656 c=4.9042 alpha=90.00 beta=90.00 gamma=90.00
Last column: nearest neighbours and their distance in Å.
Element x y z (fractional)
Hf1 0.5000 0.0000 0.0000  2 K 2.45
Hf2 0.0000 0.0000 0.5000  2 K 2.45
P1 0.0000 0.5000 0.0000  2 K 2.63
K1 0.0000 0.0000 0.0000  4 Hf 2.45, 2 P 2.63
Li1 0.5000 0.5000 0.5000  4 P 3.47, 8 Hf 3.60



2.
Computed, not measured: a geometry-optimized KLi2HfRu structure at the GGA-PBE level of DFT.

Properties
Energy relative to the elements in eV/atom: 0.804

Unit cell a=5.7387 b=4.6702 c=5.7387 alpha=90.00 beta=90.00 gamma=90.00
Last column: nearest neighbours and their distance in Å.
Element x y z (fractional)
K1 0.5000 0.5000 0.5000  8 Li 3.70, 4 Ru 4.06
Hf1 0.0000 0.0000 0.0000  2 Ru 2.34
Ru1 0.0000 0.5000 0.0000  2 Hf 2.34
Li1 0.5000 0.0000 0.0000  2 Hf 2.87
Li2 0.0000 0.0000 0.5000  2 Hf 2.87



3.
Computed, not measured: a geometry-optimized K2Li2HfS4 structure at the GGA-PBE level of DFT.

Properties
E_form (uncorrected) in eV/atom: -1.4388

Unit cell a=3.8796 b=7.4493 c=7.4623 alpha=109.37 beta=105.07 gamma=90.00
Last column: nearest neighbours and their distance in Å.
Element x y z (fractional)
K1 0.8616 0.4399 0.7232  7 S 3.25-3.40, 3 Li 3.51-3.57
S1 0.5140 0.7757 0.0280  1 Li 2.37, 2 Hf 2.61
K2 0.1384 0.5601 0.2768  7 S 3.25-3.40, 3 Li 3.51-3.57
S2 0.4860 0.2243 0.9720  1 Li 2.37, 2 Hf 2.61
S3 0.1886 0.1674 0.3771  3 Li 2.36-2.50, 1 Hf 2.57
Hf1 0.0000 0.0000 0.0000  6 S 2.57-2.61
Li1 0.6805 0.9828 0.3610  4 S 2.36-2.50
S4 0.8114 0.8326 0.6229  3 Li 2.36-2.50, 1 Hf 2.57
Li2 0.3195 0.0172 0.6390  4 S 2.36-2.50



4.
Computed, not measured: a geometry-optimized K2LiHf3S8 structure at the GGA-PBE level of DFT.

Properties
E_form (uncorrected) in eV/atom: -1.4314

Unit cell a=7.3774 b=7.3774 c=9.0537 alpha=65.96 beta=65.96 gamma=60.00
Last column: nearest neighbours and their distance in Å.
Element x y z (fractional)
S1 0.2750 0.7555 0.2140  2 Hf 2.53, 1 Li 2.59
S2 0.7179 0.7179 0.8463  3 Hf 2.57
S3 0.7555 0.2750 0.2140  2 Hf 2.53, 1 Li 2.59
K1 0.4889 0.4889 0.5333  6 S 3.27-3.28
Hf1 0.4914 0.9844 0.0327  6 S 2.53-2.58
S4 0.2215 0.2215 0.8540  2 Hf 2.55, 1 Li 2.68
K2 0.1380 0.1380 0.5858  4 S 3.00-3.08
S5 0.2215 0.7030 0.8540  2 Hf 2.55, 1 Li 2.68
Hf2 0.9844 0.4914 0.0327  6 S 2.53-2.58
S6 0.7555 0.7555 0.2140  2 Hf 2.53, 1 Li 2.59
S7 0.7030 0.2215 0.8540  2 Hf 2.55, 1 Li 2.68
Hf3 0.4914 0.4914 0.0327  6 S 2.53-2.58
S8 0.2634 0.2634 0.2099  3 Hf 2.58
Li1 0.9852 0.9852 0.0444  6 S 2.59-2.68



5.
Computed, not measured: a geometry-optimized KLi2Hf3S8 structure at the GGA-PBE level of DFT.

Properties
E_form (uncorrected) in eV/atom: -1.3933

Unit cell a=7.3420 b=7.3420 c=9.2121 alpha=66.52 beta=66.52 gamma=60.00
Last column: nearest neighbours and their distance in Å.
Element x y z (fractional)
S1 0.7823 0.3024 0.1330  2 Hf 2.52, 1 Li 2.68
Hf1 0.5125 0.0159 0.9591  6 S 2.52-2.58
K1 0.8649 0.8649 0.4054  4 S 3.07-3.13
S2 0.7397 0.7397 0.7810  3 Hf 2.58
S3 0.3024 0.7823 0.1330  2 Hf 2.52, 1 Li 2.68
Hf2 0.0159 0.5125 0.9591  6 S 2.52-2.58
S4 0.2446 0.7318 0.7789  2 Li 2.36-2.57, 2 Hf 2.55
S5 0.2446 0.2446 0.7789  2 Li 2.36-2.57, 2 Hf 2.55
S6 0.7823 0.7823 0.1330  2 Hf 2.52, 1 Li 2.68
S7 0.7318 0.2446 0.7789  2 Li 2.36-2.57, 2 Hf 2.55
Li1 0.0180 0.0180 0.9461  6 S 2.57-2.68
Hf3 0.5125 0.5125 0.9591  6 S 2.52-2.58
S8 0.2872 0.2872 0.1383  3 Hf 2.56
Li2 0.4540 0.4540 0.6380  3 S 2.36



6.
Computed, not measured: a geometry-optimized K4LiHf3S8 structure at the GGA-PBE level of DFT.

Properties
E_form (uncorrected) in eV/atom: -1.4806

Unit cell a=7.6039 b=8.5197 c=7.6042 alpha=116.51 beta=120.00 gamma=90.00
Last column: nearest neighbours and their distance in Å.
Element x y z (fractional)
S1 0.7323 0.6968 0.4645  3 Hf 2.62
K1 0.0000 0.0000 0.5000  6 S 3.12-3.17
Li1 0.0000 0.5000 0.0000  6 S 2.66-2.67
S2 0.7639 0.3083 0.5277  2 Hf 2.57, 1 Li 2.67
Hf1 0.5000 0.5000 0.0000  6 S 2.57-2.62
S3 0.7195 0.6916 0.9556  2 Hf 2.57, 1 Li 2.66
K2 0.0000 0.0000 0.0000  6 S 3.12-3.17
S4 0.2677 0.3032 0.5355  3 Hf 2.62
S5 0.2361 0.6917 0.4723  2 Hf 2.57, 1 Li 2.67
Hf2 0.0000 0.5000 0.5000  6 S 2.57-2.62
S6 0.2805 0.3084 0.0444  2 Hf 2.57, 1 Li 2.66
K3 0.5000 0.0000 0.5000  6 S 3.12-3.17
S7 0.7639 0.3084 0.0444  2 Hf 2.57, 1 Li 2.66
K4 0.5000 0.0000 0.0000  6 S 3.09
Hf3 0.5000 0.5000 0.5000  6 S 2.57-2.62
S8 0.2361 0.6916 0.9556  2 Hf 2.57, 1 Li 2.66